! Li3NbFe4O8 | the Alexandria database | PBE with a Hubbard U | relaxed; values from VASP
! raw total energy	-107.37	eV/cell
&SYSTEM
  ibrav = 0, nat = 16, ntyp = 4
/
ATOMIC_SPECIES
Li 6.94 Li.upf
O 16.00 O.upf
Fe 55.84 Fe.upf
Nb 92.91 Nb.upf
CELL_PARAMETERS angstrom
6.084 0.000 -0.001
2.888 5.355 -0.001
3.155 1.883 5.039
ATOMIC_POSITIONS angstrom
Li 3.042 0.000 0.000
O 6.011 1.892 1.140
Fe 4.620 0.941 2.519
O 7.595 4.533 1.381
Nb 4.486 2.677 -0.001
Fe 0.000 0.000 0.000
O 4.519 4.392 1.140
O 9.044 5.397 3.844
Li 1.578 0.941 2.519
O 4.532 2.705 3.656
O 7.609 2.845 3.897
O 6.116 5.345 3.897
O 3.084 1.840 1.193
Fe 6.064 3.619 2.519
Li 1.444 2.677 0.000
Fe 3.022 3.619 2.519